1.
VASP calculation (PBE-GGA) on crystalline Cs2Pt2Au at its relaxed geometry.

Summary:
The value obtained for the calculated density is 10.004 g/cm3. The calculation puts the total moment at 0.000 μB/atom. The calculation puts the energy above the most stable polymorph in this dataset at 0.260 eV per atom. The formation energy is 0.29 eV/f.u. Its space group is No. 127. For the density of states at the Fermi level, the calculation gives 6.3 states/eV/cell.

Lattice parameters (Å, degrees): 7.028 7.028 5.733 90.00 90.00 90.00
Positions (direct):
Cs: 0.182 0.318 0.000
Cs: 0.318 0.818 0.000
Cs: 0.682 0.182 0.000
Cs: 0.818 0.682 0.000
Pt: 0.130 0.630 0.500
Pt: 0.370 0.130 0.500
Pt: 0.630 0.870 0.500
Pt: 0.870 0.370 0.500
Au: 0.000 0.000 0.500
Au: 0.500 0.500 0.500



2.
VASP calculation (PBE-GGA) on crystalline Cs2PtAu at its relaxed geometry.

Summary:
The value obtained for the calculated density is 5.709 g/cm3. The calculation puts the total moment at 0.000 μB/atom. The calculation puts the energy above the most stable polymorph in this dataset at 0.000 eV per atom. The formation energy is -0.56 eV/f.u. Its space group is No. 8. For the density of states at the Fermi level, the calculation gives 2.7 states/eV/cell.

Lattice parameters (Å, degrees): 4.690 4.690 10.396 102.96 102.96 60.02
Positions (direct):
Cs: 0.000 0.000 0.000
Cs: 0.156 0.156 0.470
Pt: 0.745 0.745 0.235
Au: 0.412 0.412 0.235



3.
VASP calculation (PBE-GGA) on crystalline Cs2PtAu at its relaxed geometry.

Summary:
The value obtained for the calculated density is 5.017 g/cm3. The calculation puts the total moment at 0.000 μB/atom. The calculation puts the energy above the most stable polymorph in this dataset at 0.578 eV per atom. The formation energy is 1.75 eV/f.u. Its space group is No. 122. For the density of states at the Fermi level, the calculation gives 8.3 states/eV/cell.

Lattice parameters (Å, degrees): 9.976 9.976 9.976 138.25 138.25 60.52
Positions (direct):
Cs: 0.062 0.625 0.937
Cs: 0.375 0.312 0.437
Cs: 0.688 0.125 0.063
Cs: 0.875 0.938 0.563
Pt: 0.000 0.000 0.000
Pt: 0.750 0.250 0.500
Au: 0.250 0.750 0.500
Au: 0.500 0.500 0.000



4.
VASP calculation (PBE-GGA) on crystalline Cs5Pt2Au at its relaxed geometry.

Summary:
The value obtained for the calculated density is 5.978 g/cm3. The calculation puts the total moment at 0.000 μB/atom. The formation energy is -0.84 eV/f.u. Its space group is No. 140. For the density of states at the Fermi level, the calculation gives 2.8 states/eV/cell.

Lattice parameters (Å, degrees): 10.466 10.466 10.466 127.77 127.77 77.00
Positions (direct):
Cs: 0.000 0.000 0.000
Cs: 0.040 0.540 0.843
Cs: 0.196 0.040 0.500
Cs: 0.304 0.804 0.843
Cs: 0.460 0.304 0.500
Cs: 0.500 0.500 0.000
Cs: 0.540 0.696 0.500
Cs: 0.696 0.196 0.157
Cs: 0.804 0.960 0.500
Cs: 0.960 0.460 0.157
Pt: 0.110 0.390 0.500
Pt: 0.390 0.890 0.280
Pt: 0.610 0.110 0.720
Pt: 0.890 0.610 0.500
Au: 0.250 0.250 0.000
Au: 0.750 0.750 0.000



5.
VASP calculation (PBE-GGA) on crystalline Cs2Pt2Au at its relaxed geometry.

Summary:
The value obtained for the calculated density is 6.709 g/cm3. The calculation puts the total moment at 0.000 μB/atom. The calculation puts the energy above the most stable polymorph in this dataset at 0.000 eV per atom. The formation energy is -1.01 eV/f.u. Its space group is No. 166. For the density of states at the Fermi level, the calculation gives 3.3 states/eV/cell.

Lattice parameters (Å, degrees): 11.343 11.343 11.343 23.94 23.94 23.94
Positions (direct):
Cs: 0.078 0.078 0.078
Cs: 0.922 0.922 0.922
Pt: 0.171 0.171 0.171
Pt: 0.829 0.829 0.829
Au: 0.500 0.500 0.500



6.
VASP calculation (PBE-GGA) on crystalline CsPt2Au2 at its relaxed geometry.

Summary:
The value obtained for the calculated density is 13.055 g/cm3. The calculation puts the total moment at 0.000 μB/atom. The calculation puts the energy above the most stable polymorph in this dataset at 0.066 eV per atom. The formation energy is 1.28 eV/f.u. Its space group is No. 139. For the density of states at the Fermi level, the calculation gives 3.7 states/eV/cell.

Lattice parameters (Å, degrees): 7.104 7.104 7.104 145.12 145.12 50.15
Positions (direct):
Cs: 0.000 0.000 0.000
Pt: 0.250 0.750 0.500
Pt: 0.750 0.250 0.500
Au: 0.388 0.388 0.000
Au: 0.612 0.612 0.000



7.
VASP calculation (PBE-GGA) on crystalline CsPt2Au2 at its relaxed geometry.

Summary:
The value obtained for the calculated density is 14.258 g/cm3. The calculation puts the total moment at 0.000 μB/atom. The calculation puts the energy above the most stable polymorph in this dataset at 0.000 eV per atom. The formation energy is 0.95 eV/f.u. Its space group is No. 127. For the density of states at the Fermi level, the calculation gives 6.8 states/eV/cell.

Lattice parameters (Å, degrees): 8.375 8.375 3.045 90.00 90.00 90.00
Positions (direct):
Cs: 0.000 0.000 0.000
Cs: 0.500 0.500 0.000
Pt: 0.115 0.385 0.000
Pt: 0.385 0.885 0.000
Pt: 0.615 0.115 0.000
Pt: 0.885 0.615 0.000
Au: 0.179 0.679 0.500
Au: 0.321 0.179 0.500
Au: 0.679 0.821 0.500
Au: 0.821 0.321 0.500



8.
VASP calculation (PBE-GGA) on crystalline Cs5PtAu2 at its relaxed geometry.

Summary:
The value obtained for the calculated density is 5.396 g/cm3. The calculation puts the total moment at 0.000 μB/atom. The formation energy is -1.45 eV/f.u. Its space group is No. 55. For the density of states at the Fermi level, the calculation gives 8.9 states/eV/cell.

Lattice parameters (Å, degrees): 9.533 15.090 5.363 90.00 90.00 90.00
Positions (direct):
Cs: 0.000 0.000 0.000
Cs: 0.157 0.301 0.000
Cs: 0.172 0.584 0.500
Cs: 0.328 0.084 0.500
Cs: 0.343 0.801 0.000
Cs: 0.500 0.500 0.000
Cs: 0.657 0.199 0.000
Cs: 0.672 0.916 0.500
Cs: 0.828 0.416 0.500
Cs: 0.843 0.699 0.000
Pt: 0.000 0.500 0.000
Pt: 0.500 0.000 0.000
Au: 0.053 0.832 0.500
Au: 0.447 0.332 0.500
Au: 0.553 0.668 0.500
Au: 0.947 0.168 0.500



9.
VASP calculation (PBE-GGA) on crystalline CsPt2Au at its relaxed geometry.

Summary:
The value obtained for the calculated density is 13.862 g/cm3. The calculation puts the total moment at 0.000 μB/atom. The calculation puts the energy above the most stable polymorph in this dataset at 0.627 eV per atom. The formation energy is 3.12 eV/f.u. Its space group is No. 225. For the density of states at the Fermi level, the calculation gives 1.0 states/eV/cell.

Lattice parameters (Å, degrees): 4.959 4.959 4.959 60.00 60.00 60.00
Positions (direct):
Cs: 0.000 0.000 0.000
Pt: 0.250 0.250 0.250
Pt: 0.750 0.750 0.750
Au: 0.500 0.500 0.500



10.
VASP calculation (PBE-GGA) on crystalline CsPt2Au2 at its relaxed geometry.

Summary:
The value obtained for the calculated density is 14.218 g/cm3. The calculation puts the total moment at 0.000 μB/atom. The calculation puts the energy above the most stable polymorph in this dataset at 0.056 eV per atom. The formation energy is 1.23 eV/f.u. Its space group is No. 127. For the density of states at the Fermi level, the calculation gives 5.7 states/eV/cell.

Lattice parameters (Å, degrees): 8.483 8.483 2.977 90.00 90.00 90.00
Positions (direct):
Cs: 0.000 0.000 0.000
Cs: 0.500 0.500 0.000
Pt: 0.165 0.335 0.500
Pt: 0.335 0.835 0.500
Pt: 0.665 0.165 0.500
Pt: 0.835 0.665 0.500
Au: 0.129 0.629 0.000
Au: 0.371 0.129 0.000
Au: 0.629 0.871 0.000
Au: 0.871 0.371 0.000



11.
VASP calculation (PBE-GGA) on crystalline Cs2PtAu at its relaxed geometry.

Summary:
The value obtained for the calculated density is 6.288 g/cm3. The calculation puts the total moment at 0.000 μB/atom. The calculation puts the energy above the most stable polymorph in this dataset at 0.661 eV per atom. The formation energy is 2.08 eV/f.u. Its space group is No. 166. For the density of states at the Fermi level, the calculation gives 1.0 states/eV/cell.

Lattice parameters (Å, degrees): 11.467 11.467 11.467 21.26 21.26 21.26
Positions (direct):
Cs: 0.092 0.092 0.092
Cs: 0.908 0.908 0.908
Pt: 0.000 0.000 0.000
Au: 0.500 0.500 0.500



12.
VASP calculation (PBE-GGA) on crystalline Cs6PtAu at its relaxed geometry.

Summary:
The value obtained for the calculated density is 3.128 g/cm3. The calculation puts the total moment at 0.000 μB/atom. The formation energy is -0.80 eV/f.u. Its space group is No. 12. For the density of states at the Fermi level, the calculation gives 4.7 states/eV/cell.

Lattice parameters (Å, degrees): 9.041 9.041 8.909 90.10 90.10 119.86
Positions (direct):
Cs: 0.000 0.296 0.232
Cs: 0.000 0.704 0.768
Cs: 0.295 0.295 0.769
Cs: 0.296 0.000 0.232
Cs: 0.704 0.000 0.768
Cs: 0.705 0.705 0.231
Pt: 0.000 0.000 0.000
Au: 0.000 0.000 0.500